P.
A plane-wave DFT calculation with PBE-GGA was carried out for Y2BeBr after structural relaxation.

Computed properties:
Space-group type: Amm2, No. 38

Lattice parameters (Å, degrees): 4.693 3.563 11.036 90.00 90.00 90.00
Fractional positions:
Y (0.000, 0.000, 0.000)
Y (0.000, 0.500, 0.500)
Y (0.500, 0.000, 0.268)
Y (0.500, 0.500, 0.768)
Be (0.500, 0.000, 0.516)
Be (0.500, 0.500, 0.016)
Br (0.000, 0.000, 0.737)
Br (0.000, 0.500, 0.237)

Q.
A plane-wave DFT calculation with PBE-GGA was carried out for Y2BeBr after structural relaxation.

Computed properties:
Space-group type: R-3m, No. 166

Lattice parameters (Å, degrees): 3.895 3.895 22.373 90.00 90.00 120.00
Fractional positions:
Y (0.000, 0.000, 0.237)
Y (0.000, 0.000, 0.763)
Y (0.333, 0.667, 0.430)
Y (0.333, 0.667, 0.904)
Y (0.667, 0.333, 0.096)
Y (0.667, 0.333, 0.570)
Be (0.000, 0.000, 0.500)
Be (0.333, 0.667, 0.167)
Be (0.667, 0.333, 0.833)
Br (0.000, 0.000, 0.000)
Br (0.333, 0.667, 0.667)
Br (0.667, 0.333, 0.333)

R.
A plane-wave DFT calculation with PBE-GGA was carried out for Y2BeBr after structural relaxation.

Computed properties:
Space-group type: Pmmm, No. 47

Lattice parameters (Å, degrees): 3.456 3.509 8.195 90.00 90.00 90.00
Fractional positions:
Y (0.000, 0.000, 0.198)
Y (0.000, 0.000, 0.802)
Be (0.500, 0.500, 0.000)
Br (0.500, 0.000, 0.500)

Most stable to least stable, the ends of the list are Q and P.

P.
A plane-wave DFT calculation with PBE-GGA was carried out for YBeBr2 after structural relaxation.

Computed properties:
Space-group type: Pm, No. 6

Lattice parameters (Å, degrees): 3.687 3.594 8.532 90.00 90.10 90.00
Fractional positions:
Y (0.000, 0.000, 0.000)
Be (0.500, 0.500, 0.182)
Br (0.500, 0.000, 0.339)
Br (0.998, 0.500, 0.748)

Q.
A plane-wave DFT calculation with PBE-GGA was carried out for YBeBr2 after structural relaxation.

Computed properties:
Space-group type: Imm2, No. 44

Lattice parameters (Å, degrees): 3.485 4.988 13.373 90.00 90.00 90.00
Fractional positions:
Y (0.000, 0.000, 0.000)
Y (0.500, 0.500, 0.500)
Be (0.000, 0.500, 0.325)
Be (0.500, 0.000, 0.825)
Br (0.000, 0.000, 0.465)
Br (0.000, 0.500, 0.672)
Br (0.500, 0.000, 0.172)
Br (0.500, 0.500, 0.965)

Most stable to least stable, the ends of the list are P and Q.